A plane-wave DFT calculation with PBE was carried out for Pr5Y5Th2 after structural relaxation.

```
Pr5Y5Th2
1.0
7.7181 -2.5602 0.0000
7.7181 2.5602 0.0000
-5.2092 0.0000 10.2986
Pr Y Th
5 5 2
Direct
0.0000 0.0000 0.0000 Pr
0.0807 0.0807 0.7465 Pr
0.2505 0.2505 0.2561 Pr
0.7495 0.7495 0.7439 Pr
0.9193 0.9193 0.2535 Pr
0.3327 0.3327 0.9981 Y
0.4141 0.4141 0.7434 Y
0.5000 0.5000 0.5000 Y
0.5859 0.5859 0.2566 Y
0.6673 0.6673 0.0019 Y
0.1694 0.1694 0.4986 Th
0.8306 0.8306 0.5014 Th
```

Output
* total magnetic moment: 0.00 μB/cell
* total DFT energy (no corrections): -5.888 eV/atom
* N(E_F): 17.18 states/eV per cell
* DFT formation energy: 0.8 kcal/mol of atoms